1.
Computed, not measured: a geometry-optimized BaRe6Sb2 structure at the GGA-PBE level of DFT.

Lattice parameters (Å, degrees): 5.8316 5.8316 6.8733 90.00 90.00 120.00
With the nearest neighbours (Å) after each atom.
Sites, in units of the cell vectors:
Re: 0.5005 0.5005 0.1670  1 Re 2.30
Re: 0.4995 0.0000 0.1670  1 Re 2.30
Re: 0.0000 0.5005 0.8330  1 Re 2.30
Sb: 0.6667 0.3333 0.5000  6 Re 2.84
Re: 0.4995 0.4995 0.8330  1 Re 2.30
Re: 0.5005 0.0000 0.8330  1 Re 2.30
Sb: 0.3333 0.6667 0.5000  6 Re 2.84
Re: 0.0000 0.4995 0.1670  1 Re 2.30
Ba: 0.0000 0.0000 0.0000  12 Re 3.13-3.14

Output
Crystal system = hexagonal
SG = P6/mmm (191)
VASP energy = -75.6 eV for the cell shown

2.
Computed, not measured: a geometry-optimized PrHoH2Br4 structure at the GGA-PBE level of DFT.

Lattice parameters (Å, degrees): 3.9253 3.9253 14.8719 90.00 90.00 120.00
With the nearest neighbours (Å) after each atom.
Sites, in units of the cell vectors:
H: 0.6667 0.3333 0.0000  3 Ho 2.27
Br: 0.6667 0.3333 0.6342  3 H 3.02, 3 Pr 3.02
Br: 0.3333 0.6667 0.8742  3 H 2.94, 3 Ho 2.94
Br: 0.3333 0.6667 0.1258  3 H 2.94, 3 Ho 2.94
Ho: 0.0000 0.0000 0.0000  3 H 2.27
H: 0.3333 0.6667 0.5000  3 Pr 2.27
Pr: 0.0000 0.0000 0.5000  3 H 2.27
Br: 0.6667 0.3333 0.3658  3 H 3.02, 3 Pr 3.02

Output
Crystal system = hexagonal
SG = P-6m2 (187)
VASP energy = -34.9 eV for the cell shown

3.
Computed, not measured: a geometry-optimized NaSiAuSeS2 structure at the GGA-PBE level of DFT.

Lattice parameters (Å, degrees): 7.6256 7.6256 9.9234 90.00 90.00 154.06
With the nearest neighbours (Å) after each atom.
Sites, in units of the cell vectors:
Se: 0.9527 0.0473 0.7500  2 Si 2.58
Si: 0.0000 0.0000 0.0000  4 S 2.38, 2 Se 2.58
S: 0.6111 0.3889 0.5175  1 Au 2.32, 2 Si 2.38
Se: 0.0473 0.9527 0.2500  2 Si 2.58
Si: 0.0000 0.0000 0.5000  4 S 2.38, 2 Se 2.58
S: 0.6111 0.3889 0.9825  1 Au 2.32, 2 Si 2.38
S: 0.3889 0.6111 0.0175  1 Au 2.32, 2 Si 2.38
Na: 0.2931 0.7069 0.7500  2 Se 2.93, 2 Au 3.00, 2 S 3.01
Na: 0.7069 0.2931 0.2500  2 Se 2.93, 2 Au 3.00, 2 S 3.01
Au: 0.6270 0.3730 0.7500  2 S 2.32
Au: 0.3730 0.6270 0.2500  2 S 2.32
S: 0.3889 0.6111 0.4825  1 Au 2.32, 2 Si 2.38

Output
Crystal system = orthorhombic
SG = Cmcm (63)
VASP energy = -48.1 eV for the cell shown

4.
Computed, not measured: a geometry-optimized MgTaCoBi structure at the GGA-PBE level of DFT.

Lattice parameters (Å, degrees): 4.7125 4.7125 4.7125 60.00 60.00 60.00
With the nearest neighbours (Å) after each atom.
Sites, in units of the cell vectors:
Bi: 0.0000 0.0000 0.0000  4 Co 2.89, 4 Mg 2.89
Ta: 0.5000 0.5000 0.5000  4 Co 2.89, 4 Mg 2.89
Co: 0.7500 0.7500 0.7500  4 Ta 2.89, 4 Bi 2.89
Mg: 0.2500 0.2500 0.2500  4 Ta 2.89, 4 Bi 2.89

Output
Crystal system = cubic
SG = F-43m (216)
Polymorph energy (0 for the lowest one) = 0 meV/atom

Asked for ρ across the records above, the calculation gives 12.3; 5.3; 5.1; 10.6 Mg/m³ in order.